! ZrBi2TeSe, optimized geometry, DFT PBE; values from VASP
! energy relative to the elements, uncorrected	293.3	meV per atom
! VASP energy	-4.29	eV per atom
&SYSTEM
  ibrav = 0, nat = 5, ntyp = 4
/
ATOMIC_SPECIES
Zr 91.22 Zr.upf
Bi 208.98 Bi.upf
Te 127.60 Te.upf
Se 78.96 Se.upf
ATOMIC_POSITIONS crystal
Zr 0.000 0.000 0.000
Bi 0.000 0.500 0.000
Bi 0.500 0.000 0.000
Te 0.000 0.000 0.500
Se 0.500 0.500 0.500
CELL_PARAMETERS angstrom
5.732 0.000 0.000
0.000 5.732 0.000
0.000 0.000 5.364

! CrHIrPt2, optimized geometry, DFT PBE; values from VASP
! VASP energy	-6.78	eV per atom
&SYSTEM
  ibrav = 0, nat = 5, ntyp = 4
/
ATOMIC_SPECIES
Cr 52.00 Cr.upf
H 1.01 H.upf
Ir 192.22 Ir.upf
Pt 195.08 Pt.upf
ATOMIC_POSITIONS crystal
Cr 0.000 0.000 0.000
H 0.000 0.000 0.500
Ir 0.500 0.500 0.000
Pt 0.000 0.500 0.500
Pt 0.500 0.000 0.500
CELL_PARAMETERS angstrom
3.927 0.000 0.000
0.000 3.927 0.000
0.000 0.000 4.000

! ScSi2BAs, optimized geometry, DFT PBE; values from VASP
! energy relative to the elements, uncorrected	45.4	meV per atom
! VASP energy	-5.66	eV per atom
&SYSTEM
  ibrav = 0, nat = 5, ntyp = 4
/
ATOMIC_SPECIES
Sc 44.96 Sc.upf
Si 28.09 Si.upf
B 10.81 B.upf
As 74.92 As.upf
ATOMIC_POSITIONS crystal
Sc 0.000 0.000 0.000
Si 0.000 0.500 0.500
Si 0.500 0.000 0.500
B 0.000 0.000 0.500
As 0.500 0.500 0.000
CELL_PARAMETERS angstrom
4.022 0.000 0.000
0.000 4.022 0.000
0.000 0.000 4.888

! ScNb2SnTe, optimized geometry, DFT PBE; values from VASP
! energy relative to the elements, uncorrected	1087.7	meV per atom
! VASP energy	-5.64	eV per atom
&SYSTEM
  ibrav = 0, nat = 5, ntyp = 4
/
ATOMIC_SPECIES
Sc 44.96 Sc.upf
Nb 92.91 Nb.upf
Sn 118.71 Sn.upf
Te 127.60 Te.upf
ATOMIC_POSITIONS crystal
Sc 0.000 0.000 0.000
Nb 0.000 0.500 0.500
Nb 0.500 0.000 0.500
Sn 0.500 0.500 0.000
Te 0.500 0.500 0.500
CELL_PARAMETERS angstrom
5.043 0.000 0.000
0.000 5.043 0.000
0.000 0.000 5.698

! Pm2Nd5Sc, optimized geometry, DFT PBE; values from VASP
! energy above the most stable polymorph in this dataset	0.078	eV/atom
! VASP energy	-4.85	eV per atom
! formation enthalpy at 0 K	0.109	eV per atom
&SYSTEM
  ibrav = 0, nat = 16, ntyp = 3
/
ATOMIC_SPECIES
Pm 145.00 Pm.upf
Nd 144.24 Nd.upf
Sc 44.96 Sc.upf
ATOMIC_POSITIONS crystal
Pm 0.145 0.645 0.790
Pm 0.355 0.145 0.500
Pm 0.645 0.855 0.500
Pm 0.855 0.355 0.210
Nd 0.000 0.000 0.000
Nd 0.013 0.817 0.500
Nd 0.183 0.683 0.196
Nd 0.317 0.513 0.500
Nd 0.487 0.987 0.804
Nd 0.500 0.500 0.000
Nd 0.513 0.013 0.196
Nd 0.683 0.487 0.500
Nd 0.817 0.317 0.804
Nd 0.987 0.183 0.500
Sc 0.250 0.250 0.000
Sc 0.750 0.750 0.000
CELL_PARAMETERS angstrom
-4.490 4.490 6.682
4.490 -4.490 6.682
4.490 4.490 -6.682

! Ti2Al7Zn2, optimized geometry, DFT PBE; values from VASP
! energy above the most stable polymorph in this dataset	0.000	eV/atom
! VASP energy	-4.26	eV per atom
! formation enthalpy at 0 K	-0.213	eV per atom
&SYSTEM
  ibrav = 0, nat = 11, ntyp = 3
/
ATOMIC_SPECIES
Ti 47.87 Ti.upf
Al 26.98 Al.upf
Zn 65.41 Zn.upf
ATOMIC_POSITIONS crystal
Ti 0.094 0.094 0.320
Ti 0.906 0.906 0.680
Al 0.010 0.592 0.332
Al 0.306 0.306 0.027
Al 0.408 0.990 0.668
Al 0.500 0.500 0.500
Al 0.592 0.010 0.332
Al 0.694 0.694 0.973
Al 0.990 0.408 0.668
Zn 0.217 0.783 0.000
Zn 0.783 0.217 0.000
CELL_PARAMETERS angstrom
3.399 -4.267 0.000
3.399 4.267 0.000
-2.003 0.000 6.275

! Ta2PbCN, optimized geometry, DFT PBE; values from VASP
! energy relative to the elements, uncorrected	1256.8	meV per atom
! VASP energy	-7.74	eV per atom
&SYSTEM
  ibrav = 0, nat = 5, ntyp = 4
/
ATOMIC_SPECIES
Ta 180.95 Ta.upf
Pb 207.20 Pb.upf
C 12.01 C.upf
N 14.01 N.upf
ATOMIC_POSITIONS crystal
Ta 0.000 0.500 0.000
Ta 0.500 0.000 0.000
Pb 0.000 0.000 0.500
C 0.500 0.500 0.500
N 0.000 0.000 0.000
CELL_PARAMETERS angstrom
4.103 0.000 0.000
0.000 4.103 0.000
0.000 0.000 5.246

! Mg2Rh2W, optimized geometry, DFT PBE; values from VASP
! energy above the most stable polymorph in this dataset	0.000	eV/atom
! VASP energy	-6.12	eV per atom
! formation enthalpy at 0 K	0.045	eV per atom
&SYSTEM
  ibrav = 0, nat = 10, ntyp = 3
/
ATOMIC_SPECIES
Mg 24.30 Mg.upf
Rh 102.91 Rh.upf
W 183.84 W.upf
ATOMIC_POSITIONS crystal
Mg 0.141 0.359 0.000
Mg 0.359 0.859 0.000
Mg 0.641 0.141 0.000
Mg 0.859 0.641 0.000
Rh 0.159 0.659 0.500
Rh 0.341 0.159 0.500
Rh 0.659 0.841 0.500
Rh 0.841 0.341 0.500
W 0.000 0.000 0.500
W 0.500 0.500 0.500
CELL_PARAMETERS angstrom
7.243 0.000 0.000
0.000 7.243 0.000
0.000 0.000 3.025